(1)
A plane-wave DFT calculation with GGA-PBE was carried out for a geometry-optimized LaNdAu2 structure.

The crystal system is tetragonal. For the formation energy, the calculation gives -772.1 meV per atom. For the calculated total energy, the calculation gives -4.83 eV per atom. The value obtained for the size of the total moment is 0.000 Bohr magnetons per cell.

The structure belongs to space group P4/mmm (No. 123); the cell edges are 3.7381, 3.7381 and 7.5327 Å and the angles 90.00°, 90.00° and 90.00°. The asymmetric unit holds La at (0.0000, 0.0000, 0.0000), Nd at (0.0000, 0.0000, 0.5000) and Au at (0.5000, 0.5000, 0.2597).

(2)
A plane-wave DFT calculation with GGA-PBE was carried out for a geometry-optimized Ta3Cd structure.

The crystal system is orthorhombic. For the formation energy, the calculation gives 116.4 meV per atom. For the calculated total energy, the calculation gives -9.00 eV per atom. The value obtained for the size of the total moment is 0.000 Bohr magnetons per cell.

The structure belongs to space group Cmmm (No. 65); the cell edges are 3.4032, 4.6290 and 9.5680 Å and the angles 90.00°, 90.00° and 90.00°. The asymmetric unit holds Ta at (0.0000, 0.0000, 0.0000), Ta at (0.0000, 0.5000, 0.2386) and Cd at (0.0000, 0.0000, 0.5000).

(3)
A plane-wave DFT calculation with GGA-PBE was carried out for a geometry-optimized K2SrTa structure.

The crystal system is tetragonal. For the formation energy, the calculation gives 1343.7 meV per atom. For the calculated total energy, the calculation gives -2.59 eV per atom. The value obtained for the size of the total moment is 18.880 Bohr magnetons per cell.

The structure belongs to space group I-42d (No. 122); the cell edges are 5.0886, 5.0886 and 27.8090 Å and the angles 90.00°, 90.00° and 90.00°. The asymmetric unit holds K at (0.2280, 0.2500, 0.1250), Sr at (0.0000, 0.0000, 0.5000) and Ta at (0.0000, 0.0000, 0.0000).

(4)
A plane-wave DFT calculation with GGA-PBE was carried out for a geometry-optimized La5Pr4Dy structure.

The crystal system is orthorhombic. For the formation energy, the calculation gives 240.4 meV per atom. For the calculated total energy, the calculation gives -4.60 eV per atom. The value obtained for the size of the total moment is 0.000 Bohr magnetons per cell.

The structure belongs to space group Pmmn (No. 59, origin choice 2); the cell edges are 7.0566, 12.3656 and 8.5704 Å and the angles 90.00°, 90.00° and 90.00°. The asymmetric unit holds La at (0.0020, 0.1040, 0.1230), La at (0.2500, 0.2500, 0.4007), Pr at (0.0000, 0.2500, 0.7528), Pr at (0.2500, 0.0064, 0.5165) and Dy at (0.2500, 0.7500, 0.5980).

(5)
A plane-wave DFT calculation with GGA-PBE was carried out for a geometry-optimized YCr4Te2 structure.

The crystal system is tetragonal. For the calculated total energy, the calculation gives -6.16 eV per atom. The value obtained for the size of the total moment is 32.554 Bohr magnetons per cell. The value obtained for the raw formation energy is 1.16 eV per atom.

The structure belongs to space group I4/mmm (No. 139); the cell edges are 4.9677, 4.9677 and 14.9081 Å and the angles 90.00°, 90.00° and 90.00°. The asymmetric unit holds Y at (0.0000, 0.0000, 0.0000), Cr at (0.0000, 0.0000, 0.2030), Cr at (0.0000, 0.5000, 0.0000) and Te at (0.0000, 0.0000, 0.3870).

(6)
A plane-wave DFT calculation with GGA-PBE was carried out for a geometry-optimized Pa3Tl2Se8 structure.

The crystal system is monoclinic. For the calculated total energy, the calculation gives -5.84 eV per atom. The value obtained for the size of the total moment is 2.361 Bohr magnetons per cell. The value obtained for the raw formation energy is -1.14 eV per atom.

The structure belongs to space group C2/m (No. 12); the cell edges are 15.7073, 8.4716 and 7.2562 Å and the angles 90.00°, 108.15° and 90.00°. The asymmetric unit holds Pa at (0.0000, 0.0000, 0.0000), Pa at (0.0000, 0.2571, 0.5000), Tl at (0.2361, 0.5000, 0.1596), Se at (0.1008, 0.0000, 0.4025), Se at (0.1018, 0.2291, 0.8898) and Se at (0.1071, 0.5000, 0.4485).

(7)
A plane-wave DFT calculation with GGA-PBE was carried out for a geometry-optimized KRb2ZrOF5 structure.

The crystal system is tetragonal. For the calculated total energy, the calculation gives -5.67 eV per atom. The value obtained for the size of the total moment is 0.283 Bohr magnetons per cell. The value obtained for the raw formation energy is -3.09 eV per atom.

The structure belongs to space group I4mm (No. 107); the cell edges are 6.5543, 6.5543 and 9.3996 Å and the angles 90.00°, 90.00° and 90.00°. The asymmetric unit holds K at (0.0000, 0.0000, 0.0000), Rb at (0.0000, 0.5000, 0.2682), Zr at (0.0000, 0.0000, 0.5166), O at (0.0000, 0.0000, 0.7172), F at (0.0000, 0.0000, 0.2770) and F at (0.2240, 0.2240, 0.4878).

(8)
A plane-wave DFT calculation with GGA-PBE was carried out for a geometry-optimized Nb4Au structure.

The crystal system is triclinic. For the formation energy, the calculation gives -34.1 meV per atom. For the calculated total energy, the calculation gives -8.75 eV per atom. The value obtained for the size of the total moment is 0.000 Bohr magnetons per cell.

The structure belongs to space group P-1 (No. 2); the cell edges are 2.7824, 4.7774 and 7.2442 Å and the angles 109.18°, 95.79° and 90.01°. The asymmetric unit holds Nb at (0.0719, 0.3997, 0.2992), Nb at (0.3167, 0.2057, 0.9115) and Au at (0.5000, 0.0000, 0.5000).

(9)
A plane-wave DFT calculation with GGA-PBE was carried out for a geometry-optimized K2YMo structure.

The crystal system is tetragonal. For the formation energy, the calculation gives 1272.7 meV per atom. For the calculated total energy, the calculation gives -3.60 eV per atom. The value obtained for the size of the total moment is 6.009 Bohr magnetons per cell.

The structure belongs to space group I-4m2 (No. 119); the cell edges are 5.7411, 5.7411 and 8.1472 Å and the angles 90.00°, 90.00° and 90.00°. The asymmetric unit holds K at (0.0000, 0.0000, 0.0000), K at (0.0000, 0.5000, 0.2500), Y at (0.0000, 0.0000, 0.5000) and Mo at (0.0000, 0.5000, 0.7500).

(10)
A plane-wave DFT calculation with GGA-PBE was carried out for a geometry-optimized Li3OsBr2F6 structure.

The crystal system is monoclinic. For the calculated total energy, the calculation gives -4.49 eV per atom. The value obtained for the size of the total moment is 5.932 Bohr magnetons per cell. The value obtained for the raw formation energy is -1.86 eV per atom.

The structure belongs to space group C2/m (No. 12); the cell edges are 13.3004, 6.2475 and 5.0800 Å and the angles 90.00°, 91.47° and 90.00°. The asymmetric unit holds Li at (0.0000, 0.0000, 0.0000), Li at (0.2500, 0.2500, 0.5000), Os at (0.0000, 0.5000, 0.5000), Br at (0.1844, 0.0000, 0.1628), F at (0.0346, 0.2785, 0.7467) and F at (0.1397, 0.5000, 0.3988).

(11)
A plane-wave DFT calculation with GGA-PBE was carried out for a geometry-optimized Cu3Tc2 structure.

The crystal system is trigonal. For the formation energy, the calculation gives 557.0 meV per atom. For the calculated total energy, the calculation gives -6.05 eV per atom. The value obtained for the size of the total moment is 0.000 Bohr magnetons per cell.

The structure belongs to space group P-3m1 (No. 164); the cell edges are 4.1784, 4.1784 and 5.0712 Å and the angles 90.00°, 90.00° and 120.00°. The asymmetric unit holds Cu at (0.0000, 0.0000, 0.0000), Cu at (0.3333, 0.6667, 0.3933) and Tc at (0.3333, 0.6667, 0.8914).

(12)
A plane-wave DFT calculation with GGA-PBE was carried out for a geometry-optimized RbZnPdCl6 structure.

The crystal system is monoclinic. For the calculated total energy, the calculation gives -3.03 eV per atom. The value obtained for the size of the total moment is 2.020 Bohr magnetons per cell. The value obtained for the raw formation energy is -0.97 eV per atom.

The structure belongs to space group C2 (No. 5); the cell edges are 6.5933, 10.8739 and 7.4271 Å and the angles 90.00°, 92.22° and 90.00°. The asymmetric unit holds Rb at (0.0000, 0.0000, 0.0000), Zn at (0.0000, 0.3258, 0.5000), Pd at (0.0000, 0.6690, 0.5000), Cl at (0.1298, 0.5086, 0.6829), Cl at (0.1761, 0.8175, 0.6799) and Cl at (0.1835, 0.1921, 0.7013).

(13)
A plane-wave DFT calculation with GGA-PBE was carried out for a geometry-optimized Ac5HgAu8 structure.

The crystal system is tetragonal. For the formation energy, the calculation gives -703.0 meV per atom. For the calculated total energy, the calculation gives -4.06 eV per atom. The value obtained for the size of the total moment is 0.000 Bohr magnetons per cell.

The structure belongs to space group I-4 (No. 82); the cell edges are 9.3577, 9.3577 and 9.1326 Å and the angles 90.00°, 90.00° and 90.00°. The asymmetric unit holds Ac at (0.0000, 0.0000, 0.0000), Ac at (0.1119, 0.7545, 0.3657), Hg at (0.0000, 0.5000, 0.7500), Au at (0.0720, 0.6621, 0.0245) and Au at (0.0813, 0.8096, 0.7148).

(14)
A plane-wave DFT calculation with GGA-PBE was carried out for a geometry-optimized PrYCdAg structure.

The crystal system is tetragonal. For the formation energy, the calculation gives -304.5 meV per atom. For the calculated total energy, the calculation gives -4.06 eV per atom. The value obtained for the size of the total moment is 0.261 Bohr magnetons per cell.

The structure belongs to space group P4mm (No. 99); the cell edges are 3.7437, 3.7437 and 7.6164 Å and the angles 90.00°, 90.00° and 90.00°. The asymmetric unit holds Pr at (0.0000, 0.0000, 0.0000), Y at (0.0000, 0.0000, 0.4849), Cd at (0.5000, 0.5000, 0.7286) and Ag at (0.5000, 0.5000, 0.2659).

(15)
A plane-wave DFT calculation with GGA-PBE was carried out for a geometry-optimized TbThNi2P2 structure.

The crystal system is trigonal. For the formation energy, the calculation gives -1228.9 meV per atom. For the calculated total energy, the calculation gives -6.97 eV per atom. The value obtained for the size of the total moment is 0.000 Bohr magnetons per cell.

The structure belongs to space group P-3m1 (No. 164); the cell edges are 3.9448, 3.9448 and 7.8988 Å and the angles 90.00°, 90.00° and 120.00°. The asymmetric unit holds Tb at (0.0000, 0.0000, 0.0000), Th at (0.0000, 0.0000, 0.5000), Ni at (0.3333, 0.6667, 0.2568) and P at (0.3333, 0.6667, 0.7626).

(16)
A plane-wave DFT calculation with GGA-PBE was carried out for a geometry-optimized Pm2YAu structure.

The crystal system is trigonal. For the formation energy, the calculation gives 143.7 meV per atom. For the calculated total energy, the calculation gives -4.67 eV per atom. The value obtained for the size of the total moment is 0.000 Bohr magnetons per cell.

The structure belongs to space group R-3m (No. 166, hexagonal axes); the cell edges are 3.5730, 3.5730 and 34.6639 Å and the angles 90.00°, 90.00° and 120.00°. The asymmetric unit holds Pm at (0.0000, 0.0000, 0.0827), Y at (0.0000, 0.0000, 0.5000) and Au at (0.0000, 0.0000, 0.0000).

(17)
A plane-wave DFT calculation with GGA-PBE was carried out for a geometry-optimized TaNiAg3 structure.

The crystal system is cubic. For the formation energy, the calculation gives 1338.9 meV per atom. For the calculated total energy, the calculation gives -3.90 eV per atom. The value obtained for the size of the total moment is 0.000 Bohr magnetons per cell.

The structure belongs to space group Pm-3m (No. 221); the cell edges are 4.6359, 4.6359 and 4.6359 Å and the angles 90.00°, 90.00° and 90.00°. The asymmetric unit holds Ta at (0.0000, 0.0000, 0.0000), Ni at (0.5000, 0.5000, 0.5000) and Ag at (0.0000, 0.5000, 0.5000).

(18)
A plane-wave DFT calculation with GGA-PBE was carried out for a geometry-optimized K2NdNpO6 structure.

The crystal system is cubic. For the calculated total energy, the calculation gives -7.59 eV per atom. The value obtained for the size of the total moment is 0.000 Bohr magnetons per cell. The value obtained for the raw formation energy is -2.63 eV per atom.

The structure belongs to space group Fm-3m (No. 225); the cell edges are 8.7775, 8.7775 and 8.7775 Å and the angles 90.00°, 90.00° and 90.00°. The asymmetric unit holds K at (0.2500, 0.2500, 0.2500), Nd at (0.0000, 0.0000, 0.0000), Np at (0.0000, 0.0000, 0.5000) and O at (0.0000, 0.0000, 0.2685).

(19)
A plane-wave DFT calculation with GGA-PBE was carried out for a geometry-optimized Zn7Rh6 structure.

The crystal system is trigonal. For the formation energy, the calculation gives -116.0 meV per atom. For the calculated total energy, the calculation gives -4.19 eV per atom. The value obtained for the size of the total moment is 0.004 Bohr magnetons per cell.

The structure belongs to space group R-3m (No. 166, hexagonal axes); the cell edges are 4.8895, 4.8895 and 26.2799 Å and the angles 90.00°, 90.00° and 120.00°. The asymmetric unit holds Zn at (0.0000, 0.0000, 0.0000), Zn at (0.0037, 0.5019, 0.4129), Rh at (0.0000, 0.0000, 0.1661), Rh at (0.0000, 0.0000, 0.3457) and Rh at (0.0000, 0.0000, 0.4529).

(20)
A plane-wave DFT calculation with GGA-PBE was carried out for a geometry-optimized NaAgBiPb structure.

The crystal system is cubic. For the formation energy, the calculation gives -73.5 meV per atom. For the calculated total energy, the calculation gives -3.01 eV per atom. The value obtained for the size of the total moment is 0.000 Bohr magnetons per cell.

The structure belongs to space group F-43m (No. 216); the cell edges are 7.4715, 7.4715 and 7.4715 Å and the angles 90.00°, 90.00° and 90.00°. The asymmetric unit holds Na at (0.0000, 0.0000, 0.0000), Ag at (0.0000, 0.0000, 0.5000), Bi at (0.2500, 0.2500, 0.2500) and Pb at (0.2500, 0.2500, 0.7500).